# 1
# Ga3Ge2Pd4 | the Alexandria database | PBE-GGA | optimized geometry
data_Ga3Ge2Pd4
_cell_length_a 13.3529
_cell_length_b 9.4036
_cell_length_c 4.7767
_cell_angle_alpha 90.00
_cell_angle_beta 103.48
_cell_angle_gamma 90.00
_space_group_name_H-M_alt 'C 1 2/c 1'
_space_group_IT_number 15
loop_
_space_group_symop_operation_xyz
'x,y,z'
'-x,-y,-z'
'-x,y,-z+1/2'
'x,-y,z+1/2'
'x+1/2,y+1/2,z'
'-x+1/2,-y+1/2,-z'
'-x+1/2,y+1/2,-z+1/2'
'x+1/2,-y+1/2,z+1/2'
loop_
_atom_site_label
_atom_site_type_symbol
_atom_site_fract_x
_atom_site_fract_y
_atom_site_fract_z
Ga1 Ga 0.0000 0.1359 0.2500
Ga2 Ga 0.1367 0.3548 0.0722
Ge1 Ge 0.2305 0.1189 0.3308
Pd1 Pd 0.0685 0.3801 0.5354
Pd2 Pd 0.1135 0.0980 0.7754
# Crystal system   monoclinic

# 2
# GaGe3Pd | the Alexandria database | PBE-GGA | optimized geometry
data_GaGe3Pd
_cell_length_a 4.8881
_cell_length_b 4.8881
_cell_length_c 4.8881
_cell_angle_alpha 90.00
_cell_angle_beta 90.00
_cell_angle_gamma 90.00
_space_group_name_H-M_alt 'P m -3 m'
_space_group_IT_number 221
_space_group_name_Hall '-P 4 2 3'
loop_
_atom_site_label
_atom_site_type_symbol
_atom_site_fract_x
_atom_site_fract_y
_atom_site_fract_z
Ga1 Ga 0.0000 0.0000 0.0000
Ge1 Ge 0.0000 0.5000 0.5000
Pd1 Pd 0.5000 0.5000 0.5000
# Polymorph energy (0 for the lowest one)   0.00 eV per formula unit
# Crystal system   cubic

# 3
# Ga2GePd8 | the Alexandria database | PBE-GGA | optimized geometry
data_Ga2GePd8
_cell_length_a 15.0889
_cell_length_b 4.1311
_cell_length_c 5.7295
_cell_angle_alpha 90.00
_cell_angle_beta 106.85
_cell_angle_gamma 90.00
_space_group_name_H-M_alt 'C 1 2/m 1'
_space_group_IT_number 12
loop_
_space_group_symop_operation_xyz
'x,y,z'
'-x,-y,-z'
'-x,y,-z'
'x,-y,z'
'x+1/2,y+1/2,z'
'-x+1/2,-y+1/2,-z'
'-x+1/2,y+1/2,-z'
'x+1/2,-y+1/2,z'
loop_
_atom_site_label
_atom_site_type_symbol
_atom_site_fract_x
_atom_site_fract_y
_atom_site_fract_z
Ga1 Ga 0.1826 0.0000 0.2120
Ge1 Ge 0.0000 0.5000 0.5000
Pd1 Pd 0.0227 0.0000 0.2646
Pd2 Pd 0.0979 0.5000 0.9494
Pd3 Pd 0.1598 0.5000 0.4643
Pd4 Pd 0.2058 0.0000 0.8019
# Polymorph energy (0 for the lowest one)   0.00 eV per formula unit
# Crystal system   monoclinic

# 4
# GaGePd2 | the Alexandria database | PBE-GGA | optimized geometry
data_GaGePd2
_cell_length_a 2.9851
_cell_length_b 2.9851
_cell_length_c 24.4936
_cell_angle_alpha 90.00
_cell_angle_beta 90.00
_cell_angle_gamma 120.00
_space_group_name_H-M_alt 'R -3 m'
_space_group_IT_number 166
_space_group_name_Hall '-R 3 2"'
loop_
_atom_site_label
_atom_site_type_symbol
_atom_site_fract_x
_atom_site_fract_y
_atom_site_fract_z
Ga1 Ga 0.0000 0.0000 0.0000
Ge1 Ge 0.0000 0.0000 0.5000
Pd1 Pd 0.0000 0.0000 0.2513
# Polymorph energy (0 for the lowest one)   0.16 eV per formula unit
# Crystal system   trigonal

# 5
# GaGePd2 | the Alexandria database | PBE-GGA | optimized geometry
data_GaGePd2
_cell_length_a 4.0835
_cell_length_b 4.0835
_cell_length_c 14.2377
_cell_angle_alpha 90.00
_cell_angle_beta 90.00
_cell_angle_gamma 120.00
_space_group_name_H-M_alt 'R 3 m'
_space_group_IT_number 160
_space_group_name_Hall 'R 3 -2"'
loop_
_atom_site_label
_atom_site_type_symbol
_atom_site_fract_x
_atom_site_fract_y
_atom_site_fract_z
Ga1 Ga 0.0000 0.0000 0.0000
Ge1 Ge 0.0000 0.0000 0.1868
Pd1 Pd 0.0000 0.0000 0.4080
Pd2 Pd 0.0000 0.0000 0.6020
# Polymorph energy (0 for the lowest one)   0.35 eV per formula unit
# Crystal system   trigonal

# 6
# GaGePd5 | the Alexandria database | PBE-GGA | optimized geometry
data_GaGePd5
_cell_length_a 9.5809
_cell_length_b 8.9865
_cell_length_c 6.8434
_cell_angle_alpha 90.00
_cell_angle_beta 122.65
_cell_angle_gamma 90.00
_space_group_name_H-M_alt 'C 1 2/c 1'
_space_group_IT_number 15
loop_
_space_group_symop_operation_xyz
'x,y,z'
'-x,-y,-z'
'-x,y,-z+1/2'
'x,-y,z+1/2'
'x+1/2,y+1/2,z'
'-x+1/2,-y+1/2,-z'
'-x+1/2,y+1/2,-z+1/2'
'x+1/2,-y+1/2,z+1/2'
loop_
_atom_site_label
_atom_site_type_symbol
_atom_site_fract_x
_atom_site_fract_y
_atom_site_fract_z
Ga1 Ga 0.0000 0.0000 0.0000
Ge1 Ge 0.0000 0.4658 0.2500
Pd1 Pd 0.0000 0.1953 0.2500
Pd2 Pd 0.1146 0.2998 0.9879
Pd3 Pd 0.2045 0.4079 0.6766
# Crystal system   monoclinic

# 7
# Ga2Ge2Pd | the Alexandria database | PBE-GGA | optimized geometry
data_Ga2Ge2Pd
_cell_length_a 6.5034
_cell_length_b 6.5034
_cell_length_c 4.4873
_cell_angle_alpha 90.00
_cell_angle_beta 90.00
_cell_angle_gamma 90.00
_space_group_name_H-M_alt 'P 4/m b m'
_space_group_IT_number 127
_space_group_name_Hall '-P 4 2ab'
loop_
_atom_site_label
_atom_site_type_symbol
_atom_site_fract_x
_atom_site_fract_y
_atom_site_fract_z
Ga1 Ga 0.1714 0.3286 0.0000
Ge1 Ge 0.1416 0.6416 0.5000
Pd1 Pd 0.0000 0.0000 0.5000
# Polymorph energy (0 for the lowest one)   0.00 eV per formula unit
# Crystal system   tetragonal

# 8
# Ga3GePd | the Alexandria database | PBE-GGA | optimized geometry
data_Ga3GePd
_cell_length_a 4.8572
_cell_length_b 4.8572
_cell_length_c 4.8572
_cell_angle_alpha 90.00
_cell_angle_beta 90.00
_cell_angle_gamma 90.00
_space_group_name_H-M_alt 'P m -3 m'
_space_group_IT_number 221
_space_group_name_Hall '-P 4 2 3'
loop_
_atom_site_label
_atom_site_type_symbol
_atom_site_fract_x
_atom_site_fract_y
_atom_site_fract_z
Ga1 Ga 0.0000 0.0000 0.5000
Ge1 Ge 0.0000 0.0000 0.0000
Pd1 Pd 0.5000 0.5000 0.5000
# Polymorph energy (0 for the lowest one)   2.03 eV per formula unit
# Crystal system   cubic

# 9
# GaGe2Pd8 | the Alexandria database | PBE-GGA | optimized geometry
data_GaGe2Pd8
_cell_length_a 14.4209
_cell_length_b 4.1417
_cell_length_c 6.0701
_cell_angle_alpha 90.00
_cell_angle_beta 110.37
_cell_angle_gamma 90.00
_space_group_name_H-M_alt 'C 1 2/m 1'
_space_group_IT_number 12
loop_
_space_group_symop_operation_xyz
'x,y,z'
'-x,-y,-z'
'-x,y,-z'
'x,-y,z'
'x+1/2,y+1/2,z'
'-x+1/2,-y+1/2,-z'
'-x+1/2,y+1/2,-z'
'x+1/2,-y+1/2,z'
loop_
_atom_site_label
_atom_site_type_symbol
_atom_site_fract_x
_atom_site_fract_y
_atom_site_fract_z
Ga1 Ga 0.0000 0.0000 0.0000
Ge1 Ge 0.1809 0.5000 0.6834
Pd1 Pd 0.0278 0.5000 0.7794
Pd2 Pd 0.0946 0.0000 0.4602
Pd3 Pd 0.1721 0.0000 0.9559
Pd4 Pd 0.1891 0.5000 0.2847
# Crystal system   monoclinic

# 10
# GaGePd4 | the Alexandria database | PBE-GGA | optimized geometry
data_GaGePd4
_cell_length_a 6.7633
_cell_length_b 3.6996
_cell_length_c 14.8565
_cell_angle_alpha 90.00
_cell_angle_beta 90.00
_cell_angle_gamma 90.00
_space_group_name_H-M_alt 'P n m a'
_space_group_IT_number 62
loop_
_space_group_symop_operation_xyz
'x,y,z'
'-x,-y,-z'
'-x+1/2,-y,z+1/2'
'x+1/2,y,-z+1/2'
'x+1/2,-y+1/2,-z+1/2'
'-x+1/2,y+1/2,z+1/2'
'-x,y+1/2,-z'
'x,-y+1/2,z'
loop_
_atom_site_label
_atom_site_type_symbol
_atom_site_fract_x
_atom_site_fract_y
_atom_site_fract_z
Ga1 Ga 0.2372 0.2500 0.0553
Ge1 Ge 0.2452 0.7500 0.3098
Pd1 Pd 0.9996 0.2500 0.5717
Pd2 Pd 0.0779 0.7500 0.7188
Pd3 Pd 0.1087 0.7500 0.1554
Pd4 Pd 0.1519 0.7500 0.9352
# Polymorph energy (0 for the lowest one)   0.00 eV per formula unit
# Crystal system   orthorhombic

# 11
# GaGe3Pd | the Alexandria database | PBE-GGA | optimized geometry
data_GaGe3Pd
_cell_length_a 4.8341
_cell_length_b 4.8341
_cell_length_c 4.8341
_cell_angle_alpha 90.00
_cell_angle_beta 90.00
_cell_angle_gamma 90.00
_space_group_name_H-M_alt 'P m -3 m'
_space_group_IT_number 221
_space_group_name_Hall '-P 4 2 3'
loop_
_atom_site_label
_atom_site_type_symbol
_atom_site_fract_x
_atom_site_fract_y
_atom_site_fract_z
Ga1 Ga 0.0000 0.0000 0.0000
Ge1 Ge 0.0000 0.0000 0.5000
Pd1 Pd 0.5000 0.5000 0.5000
# Polymorph energy (0 for the lowest one)   1.94 eV per formula unit
# Crystal system   cubic

# 12
# GaGe2Pd7 | the Alexandria database | PBE-GGA | optimized geometry
data_GaGe2Pd7
_cell_length_a 7.3906
_cell_length_b 11.9522
_cell_length_c 4.3466
_cell_angle_alpha 90.00
_cell_angle_beta 90.00
_cell_angle_gamma 90.00
_space_group_name_H-M_alt 'C m m m'
_space_group_IT_number 65
_space_group_name_Hall '-C 2 2'
loop_
_atom_site_label
_atom_site_type_symbol
_atom_site_fract_x
_atom_site_fract_y
_atom_site_fract_z
Ga1 Ga 0.0000 0.0000 0.0000
Ge1 Ge 0.0000 0.3003 0.5000
Pd1 Pd 0.0000 0.2111 0.0000
Pd2 Pd 0.0000 0.5000 0.5000
Pd3 Pd 0.1879 0.1176 0.5000
# Crystal system   orthorhombic

# 13
# Ga6GePd12 | the Alexandria database | PBE-GGA | optimized geometry
data_Ga6GePd12
_cell_length_a 10.7884
_cell_length_b 10.7884
_cell_length_c 10.1145
_cell_angle_alpha 90.00
_cell_angle_beta 90.00
_cell_angle_gamma 120.00
_space_group_name_H-M_alt 'R -3'
_space_group_IT_number 148
_space_group_name_Hall '-R 3'
loop_
_atom_site_label
_atom_site_type_symbol
_atom_site_fract_x
_atom_site_fract_y
_atom_site_fract_z
Ga1 Ga 0.0459 0.8276 0.1741
Ge1 Ge 0.0000 0.0000 0.5000
Pd1 Pd 0.0487 0.8093 0.4219
Pd2 Pd 0.0529 0.8072 0.9227
# Crystal system   trigonal

# 14
# GaGePd14 | the Alexandria database | PBE-GGA | optimized geometry
data_GaGePd14
_cell_length_a 8.9978
_cell_length_b 5.8174
_cell_length_c 9.3665
_cell_angle_alpha 90.00
_cell_angle_beta 90.00
_cell_angle_gamma 90.00
_space_group_name_H-M_alt 'A m m 2'
_space_group_IT_number 38
loop_
_space_group_symop_operation_xyz
'x,y,z'
'-x,-y,z'
'-x,y,z'
'x,-y,z'
'x,y+1/2,z+1/2'
'-x,-y+1/2,z+1/2'
'-x,y+1/2,z+1/2'
'x,-y+1/2,z+1/2'
loop_
_atom_site_label
_atom_site_type_symbol
_atom_site_fract_x
_atom_site_fract_y
_atom_site_fract_z
Ga1 Ga 0.0000 0.0000 0.0000
Ge1 Ge 0.0000 0.0000 0.4969
Pd1 Pd 0.0000 0.2489 0.2613
Pd2 Pd 0.2301 0.2472 0.5507
Pd3 Pd 0.2536 0.0000 0.8035
Pd4 Pd 0.2548 0.0000 0.3000
Pd5 Pd 0.5000 0.0000 0.1150
Pd6 Pd 0.5000 0.0000 0.6176
Pd7 Pd 0.5000 0.2490 0.3696
# Crystal system   orthorhombic

# 15
# Ga5Ge2Pd12 | the Alexandria database | PBE-GGA | optimized geometry
data_Ga5Ge2Pd12
_cell_length_a 15.0280
_cell_length_b 5.6990
_cell_length_c 8.3497
_cell_angle_alpha 90.00
_cell_angle_beta 114.04
_cell_angle_gamma 90.00
_space_group_name_H-M_alt 'C 1 2/m 1'
_space_group_IT_number 12
loop_
_space_group_symop_operation_xyz
'x,y,z'
'-x,-y,-z'
'-x,y,-z'
'x,-y,z'
'x+1/2,y+1/2,z'
'-x+1/2,-y+1/2,-z'
'-x+1/2,y+1/2,-z'
'x+1/2,-y+1/2,z'
loop_
_atom_site_label
_atom_site_type_symbol
_atom_site_fract_x
_atom_site_fract_y
_atom_site_fract_z
Ga1 Ga 0.0000 0.0000 0.0000
Ga2 Ga 0.1732 0.5000 0.3344
Ga3 Ga 0.1977 0.5000 0.8619
Ge1 Ge 0.0000 0.2458 0.5000
Pd1 Pd 0.0081 0.5000 0.7612
Pd2 Pd 0.0871 0.0000 0.7684
Pd3 Pd 0.1520 0.2519 0.0780
Pd4 Pd 0.1781 0.2542 0.5840
# Crystal system   monoclinic

# 16
# GaGe2Pd8 | the Alexandria database | PBE-GGA | optimized geometry
data_GaGe2Pd8
_cell_length_a 4.0549
_cell_length_b 7.1257
_cell_length_c 11.7802
_cell_angle_alpha 90.00
_cell_angle_beta 90.00
_cell_angle_gamma 90.00
_space_group_name_H-M_alt 'I m m m'
_space_group_IT_number 71
_space_group_name_Hall '-I 2 2'
loop_
_atom_site_label
_atom_site_type_symbol
_atom_site_fract_x
_atom_site_fract_y
_atom_site_fract_z
Ga1 Ga 0.0000 0.0000 0.0000
Ge1 Ge 0.0000 0.0000 0.3142
Pd1 Pd 0.0000 0.1907 0.5000
Pd2 Pd 0.0000 0.2770 0.1639
Pd3 Pd 0.0000 0.5000 0.3619
# Crystal system   orthorhombic

# 17
# Pm3Ga2GePd9 | the Alexandria database | PBE-GGA | optimized geometry
data_Pm3Ga2GePd9
_cell_length_a 6.5707
_cell_length_b 6.5707
_cell_length_c 8.6153
_cell_angle_alpha 90.00
_cell_angle_beta 90.00
_cell_angle_gamma 120.00
_space_group_name_H-M_alt 'P -3 m 1'
_space_group_IT_number 164
_space_group_name_Hall '-P 3 2"'
loop_
_atom_site_label
_atom_site_type_symbol
_atom_site_fract_x
_atom_site_fract_y
_atom_site_fract_z
Pm1 Pm 0.0000 0.0000 0.0000
Pm2 Pm 0.3333 0.6667 0.7131
Ga1 Ga 0.3333 0.6667 0.1852
Ge1 Ge 0.0000 0.0000 0.5000
Pd1 Pd 0.0000 0.5000 0.0000
Pd2 Pd 0.1403 0.2807 0.2843
# Crystal system   trigonal

# 18
# Pm2GaGe4Pd3 | the Alexandria database | PBE-GGA | optimized geometry
data_Pm2GaGe4Pd3
_cell_length_a 4.2359
_cell_length_b 4.2359
_cell_length_c 10.7578
_cell_angle_alpha 90.00
_cell_angle_beta 90.00
_cell_angle_gamma 90.00
_space_group_name_H-M_alt 'P -4 m 2'
_space_group_IT_number 115
loop_
_space_group_symop_operation_xyz
'x,y,z'
'y,-x,-z'
'-x,-y,z'
'-y,x,-z'
'-x,y,z'
'-y,-x,-z'
'x,-y,z'
'y,x,-z'
loop_
_atom_site_label
_atom_site_type_symbol
_atom_site_fract_x
_atom_site_fract_y
_atom_site_fract_z
Pm1 Pm 0.0000 0.5000 0.2475
Ga1 Ga 0.0000 0.0000 0.5000
Ge1 Ge 0.0000 0.0000 0.0000
Ge2 Ge 0.0000 0.5000 0.6416
Ge3 Ge 0.5000 0.5000 0.0000
Pd1 Pd 0.0000 0.5000 0.8688
Pd2 Pd 0.5000 0.5000 0.5000
# Crystal system   tetragonal

# 19
# PmGaGe2Pd | the Alexandria database | PBE-GGA | optimized geometry
data_PmGaGe2Pd
_cell_length_a 4.1510
_cell_length_b 4.1510
_cell_length_c 11.2978
_cell_angle_alpha 90.00
_cell_angle_beta 90.00
_cell_angle_gamma 90.00
_space_group_name_H-M_alt 'I -4 m 2'
_space_group_IT_number 119
_space_group_name_Hall 'I -4 -2'
loop_
_atom_site_label
_atom_site_type_symbol
_atom_site_fract_x
_atom_site_fract_y
_atom_site_fract_z
Pm1 Pm 0.0000 0.0000 0.0000
Ga1 Ga 0.0000 0.5000 0.7500
Ge1 Ge 0.0000 0.0000 0.3883
Pd1 Pd 0.0000 0.5000 0.2500
# Crystal system   tetragonal

# 20
# Pm3GaGe6Pd2 | the Alexandria database | PBE-GGA | optimized geometry
data_Pm3GaGe6Pd2
_cell_length_a 5.9047
_cell_length_b 5.9047
_cell_length_c 8.5277
_cell_angle_alpha 90.00
_cell_angle_beta 90.00
_cell_angle_gamma 120.00
_space_group_name_H-M_alt 'P -3 m 1'
_space_group_IT_number 164
_space_group_name_Hall '-P 3 2"'
loop_
_atom_site_label
_atom_site_type_symbol
_atom_site_fract_x
_atom_site_fract_y
_atom_site_fract_z
Pm1 Pm 0.0000 0.0000 0.0000
Pm2 Pm 0.3333 0.6667 0.6038
Ga1 Ga 0.0000 0.0000 0.5000
Ge1 Ge 0.1860 0.3720 0.2681
Pd1 Pd 0.3333 0.6667 0.0134
# Crystal system   trigonal

# 21
# Pm3Ga2GePd6 | the Alexandria database | PBE-GGA | optimized geometry
data_Pm3Ga2GePd6
_cell_length_a 5.6944
_cell_length_b 5.6944
_cell_length_c 8.5703
_cell_angle_alpha 90.00
_cell_angle_beta 90.00
_cell_angle_gamma 120.00
_space_group_name_H-M_alt 'P -3 m 1'
_space_group_IT_number 164
_space_group_name_Hall '-P 3 2"'
loop_
_atom_site_label
_atom_site_type_symbol
_atom_site_fract_x
_atom_site_fract_y
_atom_site_fract_z
Pm1 Pm 0.0000 0.0000 0.0000
Pm2 Pm 0.3333 0.6667 0.6113
Ga1 Ga 0.3333 0.6667 0.0162
Ge1 Ge 0.0000 0.0000 0.5000
Pd1 Pd 0.1721 0.3443 0.2733
# Crystal system   trigonal

| no. | ΔH_f (0 K) (eV/atom) |
| --- | --- |
| 1 | -0.3779 |
| 2 | 0.3411 |
| 3 | -0.4786 |
| 4 | -0.4099 |
| 5 | -0.3614 |
| 6 | -0.1828 |
| 7 | -0.0423 |
| 8 | 0.5376 |
| 9 | -0.4660 |
| 10 | -0.5586 |
| 11 | 0.7296 |
| 12 | -0.1285 |
| 13 | -0.4336 |
| 14 | -0.1852 |
| 15 | -0.3990 |
| 16 | -0.4649 |
| 17 | -0.5292 |
| 18 | -0.7406 |
| 19 | -0.6001 |
| 20 | -0.4089 |
| 21 | -0.7079 |